5
Lattice="4.490 0.000 0.000 0.000 4.490 0.000 0.000 0.000 4.876" Properties=species:S:1:pos:R:3 comment="OsS2ClF PBE relaxed" dft_energy_ev_per_atom=-4.42 pbc="T T T"
S 0.000 2.245 0.000
Os 0.000 0.000 0.000
Cl 0.000 0.000 2.438
S 2.245 0.000 0.000
F 2.245 2.245 2.438

***

5
Lattice="5.266 0.000 0.000 0.000 5.266 0.000 0.000 0.000 3.575" Properties=species:S:1:pos:R:3 comment="OsSCl2F PBE relaxed" dft_energy_ev_per_atom=-2.95 pbc="T T T"
Cl 0.000 2.633 0.000
S 0.000 0.000 1.787
Os 2.633 2.633 1.787
Cl 2.633 0.000 0.000
F 0.000 0.000 0.000

***

5
Lattice="-1.360 3.294 3.190 2.718 -2.101 3.328 3.409 2.546 -1.176" Properties=species:S:1:pos:R:3 comment="OsSCl2F PBE relaxed" dft_energy_ev_per_atom=-4.06 pbc="T T T"
Cl 1.359 -1.050 1.664
S 1.704 1.273 -0.588
F 2.383 1.870 2.671
Cl -0.680 1.647 1.595
Os 0.000 0.000 0.000

***

5
Lattice="4.069 0.000 0.000 0.000 4.069 0.000 0.000 0.000 4.949" Properties=species:S:1:pos:R:3 comment="OsS2ClF PBE relaxed" dft_energy_ev_per_atom=-3.15 pbc="T T T"
S 0.000 2.034 0.000
F 0.000 0.000 0.000
S 2.034 0.000 0.000
Cl 0.000 0.000 2.474
Os 2.034 2.034 2.474

***

9
Lattice="-5.416 3.576 0.342 -0.608 -6.470 -0.114 3.945 -0.079 5.164" Properties=species:S:1:pos:R:3 comment="Tl2OsCl2F4 PBE relaxed" dft_energy_ev_per_atom=-4.44 pbc="T T T"
Os 0.000 0.000 0.000
Cl 0.877 -1.721 1.327
F 2.996 -1.410 4.065
Tl 0.099 0.112 4.016
F -1.562 0.126 1.195
F -0.518 -3.098 4.198
Cl 2.460 -4.827 3.723
F 0.341 -5.138 0.986
Tl -2.178 -3.084 1.377

***

12
Lattice="4.773 0.000 0.286 0.000 7.883 0.000 -0.370 -3.942 7.881" Properties=species:S:1:pos:R:3 comment="Tl3OsCl2F6 PBE relaxed" dft_energy_ev_per_atom=-4.34 pbc="T T T"
Tl 2.201 1.971 4.083
F 3.428 6.496 0.967
Tl 2.201 -1.971 4.083
Os 2.386 0.000 0.143
F 3.428 1.388 0.967
Tl 0.000 3.942 0.000
Cl 4.482 0.000 5.094
F 1.301 0.000 1.723
Cl -0.080 3.942 3.072
F 3.102 3.942 6.444
F 0.974 2.554 7.199
F 0.974 -2.554 7.199

***

8
Lattice="-1.447 -3.279 4.452 -0.990 -3.246 -4.920 6.186 -1.816 -0.099" Properties=species:S:1:pos:R:3 comment="PClF2 PBE relaxed" dft_energy_ev_per_atom=-4.53 pbc="T T T"
F 1.877 -6.464 -1.052
Cl -0.520 -3.706 2.728
Cl 4.269 -4.635 -3.295
P 3.082 -6.227 -0.029
F 2.352 -5.158 0.914
P 0.667 -2.114 -0.538
F 1.397 -3.183 -1.481
F 1.872 -1.877 0.485

***

8
Lattice="4.720 0.000 0.000 0.000 4.720 0.000 2.360 2.360 6.123" Properties=species:S:1:pos:R:3 comment="PClF2 PBE relaxed" dft_energy_ev_per_atom=-3.38 pbc="T T T"
Cl 0.000 0.000 0.000
Cl 4.720 2.360 3.061
F 2.358 3.540 1.531
F 2.361 1.180 1.531
P 2.360 4.720 3.061
F 5.900 4.721 4.592
F 3.540 4.718 4.592
P 2.360 2.360 0.000

***

4
Lattice="-0.675 -0.562 -2.466 4.265 -2.066 -2.083 -0.816 -5.956 1.596" Properties=species:S:1:pos:R:3 comment="PClF2 PBE relaxed" dft_energy_ev_per_atom=-4.16 pbc="T T T"
F 2.706 -2.111 -3.558
P -0.929 -5.538 -0.381
Cl 1.490 -4.634 -1.249
F 0.587 -1.000 -1.846

***

12
Lattice="-9.505 -10.276 -9.817 5.048 2.917 3.625 -2.588 -4.542 7.259" Properties=species:S:1:pos:R:3 comment="PClF4 PBE relaxed" dft_energy_ev_per_atom=-4.61 pbc="T T T"
F 1.635 -1.663 7.809
P -2.176 -3.971 5.007
Cl -0.588 -3.164 6.078
F -5.703 -7.997 -2.611
Cl -6.456 -8.737 -5.012
F -7.543 -10.121 -0.754
F -8.679 -10.237 -6.743
F 0.499 -1.779 1.821
P -4.868 -7.930 -3.941
F -4.919 -6.621 -4.810
F -1.341 -3.903 3.677
F -2.125 -5.279 5.876

***

4
Lattice="1.696 -3.211 2.010 0.364 0.097 4.133 -2.373 -2.464 2.351" Properties=species:S:1:pos:R:3 comment="PClF2 PBE relaxed" dft_energy_ev_per_atom=-2.83 pbc="T T T"
F -0.234 -4.183 6.371
P 0.000 0.000 0.000
Cl -0.156 -2.789 4.247
F -0.078 -1.394 2.124

***

16
Lattice="5.237 0.000 0.000 -0.001 7.518 -1.830 0.001 -1.951 10.838" Properties=species:S:1:pos:R:3 comment="PCl3F4 PBE relaxed" dft_energy_ev_per_atom=-3.91 pbc="T T T"
Cl 2.350 0.474 7.000
Cl 0.379 2.521 4.398
F 4.957 -1.530 8.530
F 4.538 -1.623 10.730
F 2.410 5.527 -0.211
F 1.918 3.426 -0.802
P 2.973 4.116 0.196
Cl 4.969 1.336 2.921
Cl 4.351 5.030 1.476
Cl 1.731 4.301 6.613
F 4.149 3.476 -0.621
P 0.354 5.210 7.899
Cl 2.999 -0.709 5.523
F 2.339 3.342 1.399
F 5.029 3.797 8.301
F 1.531 -1.672 10.547

***

Theoretical density across the listed records, respectively: 5.216, 5.230, 5.135, 6.259, 6.212, 5.519, 1.651, 2.543, 2.160, 1.777, 3.430, 1.736 g/cm³.
Formation energy (no corrections) across the listed records, respectively: 0.2229, 1.2322, 0.1215, 1.4930, -1.4290, -1.5706, -1.7801, -0.6347, -1.4061, -2.1483, -0.0771, -1.6055 eV per atom.